a | This record from the Alexandria database describes a relaxed structure of NpNbRu4. The functional is GGA-PBE.

## Properties
size of the total moment	0.51	Bohr magnetons per cell
SG	Pmmm, No. 47

Unit cell a=3.220 b=6.960 c=4.656 alpha=89.99 beta=90.00 gamma=90.00
Fractional positions:
Np1 0.000 0.000 0.000
Nb1 0.500 0.500 0.500
Ru1 0.500 0.723 0.000
Ru2 0.500 0.277 0.000
Ru3 0.000 0.210 0.500
Ru4 0.000 0.790 0.500



b | This record from the Alexandria database describes a relaxed structure of NpNbRu4. The functional is GGA-PBE.

## Properties
size of the total moment	2.95	Bohr magnetons per cell
SG	F-43m, No. 216

Unit cell a=5.213 b=5.213 c=5.213 alpha=60.00 beta=60.00 gamma=60.00
Fractional positions:
Np1 0.250 0.250 0.250
Ru1 0.625 0.625 0.124
Ru2 0.625 0.124 0.625
Ru3 0.625 0.625 0.625
Ru4 0.124 0.625 0.625
Nb1 0.000 0.000 0.000



Q: Which of them is the least stable? A: a.



a | This record from the Alexandria database describes a relaxed structure of NpNb2Ru. The functional is GGA-PBE.

## Properties
size of the total moment	3.02	Bohr magnetons per cell
SG	Fm-3m, No. 225

Unit cell a=4.650 b=4.650 c=4.650 alpha=60.00 beta=60.00 gamma=60.00
Fractional positions:
Np1 0.000 0.000 0.000
Ru1 0.500 0.500 0.500
Nb1 0.250 0.250 0.250
Nb2 0.750 0.750 0.750



b | This record from the Alexandria database describes a relaxed structure of NpNb2Ru. The functional is GGA-PBE.

## Properties
size of the total moment	3.28	Bohr magnetons per cell
SG	P4/mmm, No. 123

Unit cell a=3.092 b=3.092 c=7.736 alpha=90.00 beta=90.00 gamma=90.00
Fractional positions:
Np1 0.500 0.500 0.500
Ru1 0.500 0.500 0.000
Nb1 0.000 0.000 0.785
Nb2 0.000 0.000 0.215



c | This record from the Alexandria database describes a relaxed structure of NpNb2Ru. The functional is GGA-PBE.

## Properties
size of the total moment	3.03	Bohr magnetons per cell
SG	P4/mmm, No. 123

Unit cell a=4.983 b=3.866 c=3.866 alpha=90.00 beta=90.00 gamma=90.00
Fractional positions:
Np1 0.500 0.500 0.500
Ru1 0.500 0.000 0.000
Nb1 0.000 0.000 0.500
Nb2 0.000 0.500 0.000



Q: Which of them is the least stable? A: a.



a | This record from the Alexandria database describes a relaxed structure of NpNb2Sn. The functional is GGA-PBE.

## Properties
size of the total moment	3.38	Bohr magnetons per cell
SG	P4/mmm, No. 123

Unit cell a=3.730 b=4.635 c=4.635 alpha=90.00 beta=90.00 gamma=90.00
Fractional positions:
Np1 0.500 0.500 0.500
Nb1 0.000 0.000 0.500
Nb2 0.000 0.500 0.000
Sn1 0.500 0.000 0.000



b | This record from the Alexandria database describes a relaxed structure of NpNb2Sn. The functional is GGA-PBE.

## Properties
size of the total moment	3.57	Bohr magnetons per cell
SG	R-3m, No. 166

Unit cell a=3.021 b=3.021 c=10.590 alpha=81.80 beta=81.80 gamma=60.00
Fractional positions:
Np1 0.000 0.000 0.000
Nb1 0.755 0.755 0.736
Nb2 0.245 0.245 0.264
Sn1 0.500 0.500 0.500



Q: Which of them is the least stable? A: b.